Entry 1:
First-principles (GGA-PBE) data for Ti4NbO2 after structural relaxation, as listed in the Alexandria database.

Values from the calculation:
volume: 93.4 Å³/f.u.
total moment: 0.00 μB per atom
uncorrected formation energy: -1302 meV per atom
space-group type: Cmcm, No. 63
raw total energy: -8.67 eV per atom

a = 3.161 Å, b = 5.610 Å, c = 10.978 Å
α = 90.00°, β = 90.00°, γ = 106.36°
Element x y z (fractional)
Ti  0.500  0.000  0.000
Ti  0.903  0.807  0.750
Ti  0.236  0.473  0.897
Ti  0.764  0.527  0.103
Ti  0.500  0.000  0.500
Ti  0.236  0.473  0.603
Ti  0.764  0.527  0.397
Ti  0.097  0.193  0.250
Nb  0.403  0.807  0.250
Nb  0.597  0.193  0.750
O  0.866  0.732  0.559
O  0.134  0.268  0.059
O  0.134  0.268  0.441
O  0.866  0.732  0.941

Entry 2:
First-principles (GGA-PBE) data for Ir5Pt3 after structural relaxation, as listed in the Alexandria database.

Values from the calculation:
volume: 126.6 Å³/f.u.
total moment: 0.00 μB per atom
distance to the lowest polymorph of the same formula: 0.0 kJ/mol of formula units
ΔH_f (0 K): 368 meV/atom
space-group type: C2/m, No. 12
raw total energy: -7.44 eV per atom

a = 7.279 Å, b = 7.279 Å, c = 7.747 Å
α = 93.74°, β = 93.74°, γ = 141.04°
Element x y z (fractional)
Ir  0.979  0.695  0.832
Ir  0.781  0.281  0.568
Ir  0.806  0.522  0.169
Ir  0.680  0.877  0.675
Ir  0.377  0.180  0.675
Ir  0.220  0.720  0.433
Ir  0.320  0.123  0.326
Ir  0.195  0.479  0.832
Ir  0.623  0.820  0.326
Ir  0.022  0.306  0.169
Pt  0.652  0.152  0.885
Pt  0.721  0.780  0.000
Pt  0.349  0.849  0.116
Pt  0.280  0.221  0.000
Pt  0.822  0.679  0.500
Pt  0.179  0.322  0.500

Entry 3:
First-principles (GGA-PBE) data for Tl3PtF7 after structural relaxation, as listed in the Alexandria database.

Values from the calculation:
volume: 208.2 Å³/f.u.
total moment: 0.00 μB per atom
uncorrected formation energy: -1672 meV per atom
space-group type: P4/mbm, No. 127
raw total energy: -4.06 eV per atom

a = 6.091 Å, b = 8.268 Å, c = 8.268 Å
α = 90.00°, β = 90.00°, γ = 90.00°
Element x y z (fractional)
Tl  0.500  0.197  0.697
Tl  0.000  0.000  0.000
Tl  0.500  0.303  0.197
Tl  0.000  0.500  0.500
Tl  0.500  0.697  0.803
Tl  0.500  0.803  0.303
F  0.500  0.500  0.500
F  0.000  0.831  0.331
F  0.763  0.116  0.384
F  0.237  0.116  0.384
F  0.500  0.000  0.000
F  0.763  0.384  0.884
F  0.237  0.616  0.116
F  0.000  0.169  0.669
F  0.237  0.884  0.616
F  0.000  0.669  0.831
F  0.763  0.884  0.616
F  0.000  0.331  0.169
F  0.237  0.384  0.884
F  0.763  0.616  0.116
Pt  0.000  0.000  0.500
Pt  0.000  0.500  0.000

What is the raw total energy in the second record? -7.44 eV per atom

Which value of raw total energy does entry 1 give? -8.67 eV per atom

Repeat the second record exactly.
First-principles (GGA-PBE) data for Ir5Pt3 after structural relaxation, as listed in the Alexandria database.

Values from the calculation:
volume: 126.6 Å³/f.u.
total moment: 0.00 μB per atom
distance to the lowest polymorph of the same formula: 0.0 kJ/mol of formula units
ΔH_f (0 K): 368 meV/atom
space-group type: C2/m, No. 12
raw total energy: -7.44 eV per atom

a = 7.279 Å, b = 7.279 Å, c = 7.747 Å
α = 93.74°, β = 93.74°, γ = 141.04°
Element x y z (fractional)
Ir  0.979  0.695  0.832
Ir  0.781  0.281  0.568
Ir  0.806  0.522  0.169
Ir  0.680  0.877  0.675
Ir  0.377  0.180  0.675
Ir  0.220  0.720  0.433
Ir  0.320  0.123  0.326
Ir  0.195  0.479  0.832
Ir  0.623  0.820  0.326
Ir  0.022  0.306  0.169
Pt  0.652  0.152  0.885
Pt  0.721  0.780  0.000
Pt  0.349  0.849  0.116
Pt  0.280  0.221  0.000
Pt  0.822  0.679  0.500
Pt  0.179  0.322  0.500